Here is a geometry-optimized CaTiCr2O6 structure from Alexandria. Energies are from PBE+U.

Unit cell a=5.3759 b=5.2637 c=5.2637 alpha=90.00 beta=90.00 gamma=90.00
Each line ends with the local moment (μB).
Element x y z (fractional)
Ca 0.5347 0.5000 0.5000  0.00
Ti 0.6207 0.0000 0.0000  0.04
Cr 0.9072 0.5000 0.0000  3.33
Cr 0.9072 0.0000 0.5000  3.33
O 0.7627 0.2413 0.2413  -0.09
O 0.7627 0.2413 0.7587  -0.09
O 0.1266 0.5000 0.5000  -0.52
O 0.2994 0.0000 0.0000  0.00
O 0.7627 0.7587 0.7587  -0.09
O 0.7627 0.7587 0.2413  -0.09

Output
- uncorrected energy (Ha/atom) = -0.271
- symmetry = No. 99